No. 1
Density functional theory data (PBE) for a relaxed Ac2Al4Pd3Pt crystal.

Computed properties:
Magnetization, μB/cell: 0.000
Calculated density, g cm⁻³: 8.58

a b c (Å): 4.4797 4.4797 10.3855
angles (deg): 90.00 90.00 90.00
Closest atoms and distances in Å follow each position.
Space group P-4m2 (No. 115)
One atom of each set of equivalent atoms:
Ac1 0.0000 0.5000 0.2481  6 Pd 3.41, 2 Pt 3.41, 9 Al 3.44-3.80
Al1 0.0000 0.0000 0.5000  4 Pd 2.61
Al2 0.0000 0.5000 0.8821  3 Pd 2.55-2.62, 2 Pt 2.55
Al3 0.5000 0.5000 0.5000  4 Pd 2.61
Pd1 0.0000 0.0000 0.0000  4 Al 2.55
Pd2 0.0000 0.5000 0.6294  5 Al 2.61-2.62
Pt1 0.5000 0.5000 0.0000  4 Al 2.55

=====

No. 2
Density functional theory data (PBE) for a relaxed Ac2Al6PdPt crystal.

Computed properties:
Magnetization, μB/cell: 0.000
Calculated density, g cm⁻³: 6.94

a b c (Å): 6.6035 6.6043 6.9360
angles (deg): 61.68 61.78 60.07
Closest atoms and distances in Å follow each position.
Space group P-1 (No. 2)
One atom of each set of equivalent atoms:
Ac1 0.1940 0.1954 0.4158  9 Al 3.31-3.55, 1 Pt 3.39
Al1 0.1829 0.3167 0.8641  1 Pt 2.51, 1 Pd 2.62, 2 Al 2.66
Al2 0.3163 0.6358 0.8647  1 Pt 2.51, 1 Pd 2.62, 2 Al 2.66
Al3 0.3652 0.8175 0.1340  1 Pt 2.51, 1 Pd 2.62, 2 Al 2.66
Pd1 0.5000 0.5000 0.5000  6 Al 2.62
Pt1 0.0000 0.0000 0.0000  6 Al 2.51

=====

No. 3
Density functional theory data (PBE) for a relaxed Ac2Al3PdPt12 crystal.

Computed properties:
Magnetization, μB/cell: 0.000
Calculated density, g cm⁻³: 13.11

a b c (Å): 8.2327 8.2327 19.3100
angles (deg): 90.00 90.00 120.00
Closest atoms and distances in Å follow each position.
Space group R-3m (No. 166, hexagonal axes)
One atom of each set of equivalent atoms:
Ac1 0.0000 0.0000 0.1195  6 Pt 2.88-2.92
Al1 0.0000 0.5000 0.0000  6 Pt 2.42-2.45
Pd1 0.0000 0.0000 0.5000  6 Pt 2.56
Pt1 0.0080 0.5040 0.8747  1 Al 2.42, 1 Pd 2.56
Pt2 0.0152 0.5076 0.3735  2 Al 2.45

=====

No. 4
Density functional theory data (PBE) for a relaxed Ac2AlPd6Pt crystal.

Computed properties:
Magnetization, μB/cell: 0.000
Calculated density, g cm⁻³: 10.28

a b c (Å): 6.5259 6.5259 34.5471
angles (deg): 90.00 90.00 120.00
Closest atoms and distances in Å follow each position.
Space group R-3m (No. 166, hexagonal axes)
One atom of each set of equivalent atoms:
Ac1 0.0000 0.0000 0.1140  12 Pd 3.26-3.62
Ac2 0.0000 0.0000 0.2828  12 Pd 3.22-3.35
Al1 0.0000 0.0000 0.0000  6 Pd 2.40
Al2 0.0000 0.0000 0.5000  6 Pd 2.47, 2 Pt 2.55
Pd1 0.0495 0.5248 0.3032  1 Al 2.40
Pd2 0.0615 0.5308 0.8641  1 Al 2.47, 2 Pd 2.66, 1 Pt 2.68
Pt1 0.0000 0.0000 0.4262  1 Al 2.55, 6 Pd 2.68-2.70

=====

Energy relative to the elements list, top to bottom, in meV per atom: -888; -591; -424; -690